Density functional theory data (GGA-PBE) for an optimized crystal structure of Zr4BiC2S.

Results
Its total energy is -8.60 eV per atom. The calculation puts the size of the total moment at 0.010 μB/f.u. As for the crystal system: hexagonal.

Unit cell a=3.4381 b=3.4381 c=13.5007 alpha=90.00 beta=90.00 gamma=120.00
Closest atoms and distances in Å follow each position.
Atoms (fractional coordinates):
Zr 0.0000 0.0000 0.1351  3 C 2.35
Zr 0.0000 0.0000 0.8649  3 C 2.35
Zr 0.6667 0.3333 0.3171  3 C 2.32
Zr 0.6667 0.3333 0.6829  3 C 2.32
Bi 0.0000 0.0000 0.5000  6 Zr 3.17, 6 Bi 3.44
C 0.3333 0.6667 0.2278  6 Zr 2.32-2.35
C 0.3333 0.6667 0.7722  6 Zr 2.32-2.35
S 0.6667 0.3333 0.0000  6 Zr 2.70

Density functional theory data (GGA-PBE) for an optimized crystal structure of Al2IrAu.

Results
Its total energy is -5.03 eV per atom. The calculation puts the size of the total moment at 0.000 μB/f.u. As for the crystal system: cubic.

Unit cell a=4.4594 b=4.4594 c=4.4594 alpha=60.00 beta=60.00 gamma=60.00
Closest atoms and distances in Å follow each position.
Atoms (fractional coordinates):
Al 0.0000 0.0000 0.0000  4 Al 2.73, 4 Au 2.73
Al 0.2500 0.2500 0.2500  4 Ir 2.73, 4 Al 2.73
Ir 0.5000 0.5000 0.5000  4 Al 2.73, 4 Au 2.73
Au 0.7500 0.7500 0.7500  4 Al 2.73, 4 Ir 2.73

Density functional theory data (GGA-PBE) for an optimized crystal structure of PuBTe.

Results
Its total energy is -7.43 eV per atom. The calculation puts the size of the total moment at 5.708 μB/f.u. As for the crystal system: cubic.

Unit cell a=4.7896 b=4.7896 c=4.7896 alpha=60.00 beta=60.00 gamma=60.00
Closest atoms and distances in Å follow each position.
Atoms (fractional coordinates):
Pu 0.0000 0.0000 0.0000  4 Te 2.93, 4 B 2.93
B 0.7500 0.7500 0.7500  4 Pu 2.93
Te 0.2500 0.2500 0.2500  4 Pu 2.93

Density functional theory data (GGA-PBE) for an optimized crystal structure of La2Ag2O5.

Results
Its total energy is -5.94 eV per atom. The calculation puts the size of the total moment at 2.135 μB/f.u. As for the crystal system: tetragonal.

Unit cell a=4.1348 b=4.1348 c=9.3027 alpha=90.00 beta=90.00 gamma=90.00
Closest atoms and distances in Å follow each position.
Atoms (fractional coordinates):
La 0.0000 0.0000 0.2459  5 O 2.28-2.36
La 0.0000 0.0000 0.7541  5 O 2.28-2.36
Ag 0.5000 0.5000 0.0000  8 O 2.46
Ag 0.5000 0.5000 0.5000  4 O 2.92
O 0.0000 0.0000 0.5000  2 La 2.36
O 0.0000 0.5000 0.1425  2 La 2.28, 2 Ag 2.46
O 0.0000 0.5000 0.8575  2 La 2.28, 2 Ag 2.46
O 0.5000 0.0000 0.1425  2 La 2.28, 2 Ag 2.46
O 0.5000 0.0000 0.8575  2 La 2.28, 2 Ag 2.46

Density functional theory data (GGA-PBE) for an optimized crystal structure of PrNdSe4.

Results
Its total energy is -5.53 eV per atom. The calculation puts the size of the total moment at 0.000 μB/f.u. As for the crystal system: tetragonal.

Unit cell a=4.1678 b=4.1678 c=8.6265 alpha=90.00 beta=90.00 gamma=90.00
Closest atoms and distances in Å follow each position.
Atoms (fractional coordinates):
Pr 0.0000 0.0000 0.0000  9 Se 3.06-3.15
Nd 0.5000 0.5000 0.4534  9 Se 3.06-3.14
Se 0.0000 0.0000 0.3592  4 Nd 3.06, 1 Pr 3.10
Se 0.0000 0.5000 0.7254  4 Se 2.95, 2 Nd 3.14, 2 Pr 3.15
Se 0.5000 0.0000 0.7254  4 Se 2.95, 2 Nd 3.14, 2 Pr 3.15
Se 0.5000 0.5000 0.0964  4 Pr 3.06, 1 Nd 3.08

Density functional theory data (GGA-PBE) for an optimized crystal structure of Pr2AgAu3.

Results
Its formation energy from the elements is -660.5 meV/atom. Its total energy is -4.36 eV per atom. The calculation puts the size of the total moment at 0.002 μB/f.u. As for the crystal system: monoclinic.

Unit cell a=5.9676 b=5.9676 c=7.1763 alpha=126.60 beta=126.60 gamma=47.15
Closest atoms and distances in Å follow each position.
Atoms (fractional coordinates):
Pr 0.0000 0.0000 0.0000  9 Au 3.19-3.47, 3 Ag 3.35-3.40
Pr 0.0710 0.0710 0.5723  9 Au 3.21-3.46, 3 Ag 3.26-3.28
Ag 0.3700 0.3700 0.1630  4 Au 2.76-3.05
Au 0.3715 0.3715 0.5889  3 Au 2.79-2.80, 1 Ag 3.05
Au 0.6970 0.6970 0.4137  1 Ag 2.77, 3 Au 2.79-3.10
Au 0.7029 0.7029 0.9877  2 Ag 2.76, 1 Au 2.80

Density functional theory data (GGA-PBE) for an optimized crystal structure of OsPtO3.

Results
Its total energy is -6.64 eV per atom. The calculation puts the size of the total moment at 0.022 μB/f.u. As for the crystal system: trigonal.

Unit cell a=5.7352 b=5.7352 c=5.7352 alpha=54.40 beta=54.40 gamma=54.40
Closest atoms and distances in Å follow each position.
Atoms (fractional coordinates):
Os 0.1547 0.1547 0.1547  6 O 2.00-2.06
Os 0.8453 0.8453 0.8453  6 O 2.00-2.06
Pt 0.3572 0.3572 0.3572  6 O 2.13-2.31
Pt 0.6428 0.6428 0.6428  6 O 2.13-2.31
O 0.0522 0.4438 0.7744  2 Os 2.00-2.06, 1 Pt 2.13
O 0.2256 0.9478 0.5562  2 Os 2.00-2.06, 1 Pt 2.13
O 0.4438 0.7744 0.0522  2 Os 2.00-2.06, 1 Pt 2.13
O 0.5562 0.2256 0.9478  2 Os 2.00-2.06, 1 Pt 2.13
O 0.7744 0.0522 0.4438  2 Os 2.00-2.06, 1 Pt 2.13
O 0.9478 0.5562 0.2256  2 Os 2.00-2.06, 1 Pt 2.13

Density functional theory data (GGA-PBE) for an optimized crystal structure of HfAlIn2.

Results
Its total energy is -4.53 eV per atom. The calculation puts the size of the total moment at 0.001 μB/f.u. As for the crystal system: cubic.

Unit cell a=4.9988 b=4.9988 c=4.9988 alpha=60.00 beta=60.00 gamma=60.00
Closest atoms and distances in Å follow each position.
Atoms (fractional coordinates):
Hf 0.0000 0.0000 0.0000  4 In 3.06, 4 Al 3.06
Al 0.7500 0.7500 0.7500  4 Hf 3.06, 4 In 3.06
In 0.2500 0.2500 0.2500  4 In 3.06, 4 Hf 3.06
In 0.5000 0.5000 0.5000  4 Al 3.06, 4 In 3.06

Density functional theory data (GGA-PBE) for an optimized crystal structure of Sr3CdO4.

Results
Its total energy is -5.50 eV per atom. As for the crystal system: orthorhombic.

Unit cell a=5.0580 b=5.0623 c=5.0606 alpha=90.00 beta=90.00 gamma=90.00
Closest atoms and distances in Å follow each position.
Atoms (fractional coordinates):
Sr 0.0000 0.0000 0.0000  6 O 2.52-2.54
Sr 0.0000 0.5000 0.4989  6 O 2.52-2.54
Sr 0.5000 0.5000 0.9986  6 O 2.53-2.54
Cd 0.5000 0.0000 0.4980  6 O 2.50-2.56
O 0.0000 0.0000 0.5015  4 Sr 2.52-2.54, 2 Cd 2.53
O 0.0000 0.5000 0.9972  6 Sr 2.52-2.54
O 0.5000 0.0000 0.0033  2 Cd 2.50-2.56, 4 Sr 2.53
O 0.5000 0.5000 0.4976  4 Sr 2.53-2.54, 2 Cd 2.53

Density functional theory data (GGA-PBE) for an optimized crystal structure of YB4Pd.

Results
Its total energy is -6.60 eV per atom. The calculation puts the size of the total moment at 0.015 μB/f.u. As for the crystal system: hexagonal.

Unit cell a=3.2186 b=3.2186 c=6.9499 alpha=90.00 beta=90.00 gamma=120.00
Closest atoms and distances in Å follow each position.
Atoms (fractional coordinates):
Y 0.0000 0.0000 0.0000  12 B 2.64
B 0.3333 0.6667 0.2689  3 B 1.86
B 0.3333 0.6667 0.7311  3 B 1.86
B 0.6667 0.3333 0.2689  3 B 1.86
B 0.6667 0.3333 0.7311  3 B 1.86
Pd 0.0000 0.0000 0.5000  12 B 2.46

Density functional theory data (GGA-PBE) for an optimized crystal structure of InMo3C2.

Results
Its total energy is -8.88 eV per atom. The calculation puts the size of the total moment at 0.001 μB/f.u. As for the crystal system: hexagonal.

Unit cell a=3.1225 b=3.1225 c=19.1070 alpha=90.00 beta=90.00 gamma=120.00
Closest atoms and distances in Å follow each position.
Atoms (fractional coordinates):
In 0.0000 0.0000 0.2500  6 Mo 3.00, 6 In 3.12
In 0.0000 0.0000 0.7500  6 Mo 3.00, 6 In 3.12
Mo 0.0000 0.0000 0.0000  6 C 2.22
Mo 0.0000 0.0000 0.5000  6 C 2.22
Mo 0.3333 0.6667 0.1242  3 C 2.10
Mo 0.3333 0.6667 0.3758  3 C 2.10
Mo 0.6667 0.3333 0.6242  3 C 2.10
Mo 0.6667 0.3333 0.8758  3 C 2.10
C 0.3333 0.6667 0.5681  6 Mo 2.10-2.22
C 0.3333 0.6667 0.9319  6 Mo 2.10-2.22
C 0.6667 0.3333 0.0681  6 Mo 2.10-2.22
C 0.6667 0.3333 0.4319  6 Mo 2.10-2.22

Density functional theory data (GGA-PBE) for an optimized crystal structure of TbIrAu.

Results
Its formation energy from the elements is -326.9 meV/atom. Its total energy is -5.91 eV per atom. The calculation puts the size of the total moment at 0.015 μB/f.u. As for the crystal system: cubic.

Unit cell a=4.6050 b=4.6050 c=4.6050 alpha=60.00 beta=60.00 gamma=60.00
Closest atoms and distances in Å follow each position.
Atoms (fractional coordinates):
Tb 0.0000 0.0000 0.0000  4 Ir 2.82
Ir 0.7500 0.7500 0.7500  4 Au 2.82, 4 Tb 2.82
Au 0.5000 0.5000 0.5000  4 Ir 2.82

Density functional theory data (GGA-PBE) for an optimized crystal structure of Hf5AgPb3.

Results
Its total energy is -7.12 eV per atom. The calculation puts the size of the total moment at 0.011 μB/f.u. As for the crystal system: hexagonal.

Unit cell a=8.7837 b=8.7837 c=5.9292 alpha=90.00 beta=90.00 gamma=120.00
Closest atoms and distances in Å follow each position.
Atoms (fractional coordinates):
Hf 0.0000 0.2816 0.2500  2 Ag 2.88, 5 Pb 2.98-3.08
Hf 0.0000 0.7184 0.7500  2 Ag 2.88, 5 Pb 2.98-3.08
Hf 0.2816 0.0000 0.2500  2 Ag 2.88, 5 Pb 2.98-3.08
Hf 0.2816 0.2816 0.7500  2 Ag 2.88, 5 Pb 2.98-3.08
Hf 0.3333 0.6667 0.0000  2 Hf 2.96, 6 Pb 3.13
Hf 0.3333 0.6667 0.5000  2 Hf 2.96, 6 Pb 3.13
Hf 0.6667 0.3333 0.0000  2 Hf 2.96, 6 Pb 3.13
Hf 0.6667 0.3333 0.5000  2 Hf 2.96, 6 Pb 3.13
Hf 0.7184 0.0000 0.7500  2 Ag 2.88, 5 Pb 2.98-3.08
Hf 0.7184 0.7184 0.2500  2 Ag 2.88, 5 Pb 2.98-3.08
Ag 0.0000 0.0000 0.0000  6 Hf 2.88, 2 Ag 2.96
Ag 0.0000 0.0000 0.5000  6 Hf 2.88, 2 Ag 2.96
Pb 0.0000 0.3774 0.7500  9 Hf 2.98-3.13
Pb 0.0000 0.6226 0.2500  9 Hf 2.98-3.13
Pb 0.3774 0.0000 0.7500  9 Hf 2.98-3.13
Pb 0.3774 0.3774 0.2500  9 Hf 2.98-3.13
Pb 0.6226 0.0000 0.2500  9 Hf 2.98-3.13
Pb 0.6226 0.6226 0.7500  9 Hf 2.98-3.13

Density functional theory data (GGA-PBE) for an optimized crystal structure of Nd2NiGeI2.

Results
Its total energy is -4.92 eV per atom. The calculation puts the size of the total moment at 0.010 μB/f.u. As for the crystal system: trigonal.

Unit cell a=4.2400 b=4.2400 c=12.1264 alpha=90.00 beta=90.00 gamma=120.00
Closest atoms and distances in Å follow each position.
Atoms (fractional coordinates):
Nd 0.0000 0.0000 0.0000  3 Ni 3.05, 3 Ge 3.11, 3 I 3.29
Nd 0.0000 0.0000 0.3095  3 Ge 3.06, 3 Ni 3.12, 3 I 3.26
Ni 0.3333 0.6667 0.1502  3 Ge 2.45
Ge 0.6667 0.3333 0.1580  3 Ni 2.45
I 0.3333 0.6667 0.4875  3 Nd 3.26
I 0.6667 0.3333 0.8193  3 Nd 3.29